Density functional theory data (PBE-GGA) for a relaxed structure of ScGeWCl2.

Calculated values
Total energy, eV per atom: -5.0839
Theoretical density, g cm⁻³: 4.695
Uncorrected formation energy, eV/f.u.: 2.18

Lattice parameters (Å, degrees): 4.6625 4.6625 6.0577 90.00 90.00 90.00
Closest atoms and distances in Å follow each position.
Space group P4/mmm (No. 123)
Inequivalent atoms, fractional coordinates:
1 Sc 0.0000 0.0000 0.0000  4 Cl 2.33
2 Ge 0.5000 0.5000 0.5000  4 W 3.30
3 W 0.0000 0.0000 0.5000  2 Sc 3.03, 4 Ge 3.30
4 Cl 0.0000 0.5000 0.0000  2 Sc 2.33